A plane-wave DFT calculation with GGA-PBE was carried out for a geometry-optimized BaScSi2 structure.

ρ: 4.283 Mg/m³
E above lowest polymorph: 0.800 eV/atom
Formation energy from raw total energies: 0.36 eV per atom
Total magnetization: 0.00 μB per cell
V: 23.11 Å³/atom

Structure (CIF):
```
data_BaScSi2
_cell_length_a 5.076
_cell_length_b 5.076
_cell_length_c 5.076
_cell_angle_alpha 60.00
_cell_angle_beta 60.00
_cell_angle_gamma 60.00
_space_group_name_H-M_alt 'P 1'
_space_group_IT_number 1
loop_
_space_group_symop_operation_xyz
'x,y,z'
loop_
_atom_site_label
_atom_site_fract_x
_atom_site_fract_y
_atom_site_fract_z
Ba1 0.000 0.000 0.000
Sc1 0.750 0.750 0.750
Si1 0.250 0.250 0.250
Si2 0.500 0.500 0.500
```


A plane-wave DFT calculation with GGA-PBE was carried out for a geometry-optimized KSi structure.

ρ: 1.893 Mg/m³
E above lowest polymorph: 0.833 eV/atom
Formation energy from raw total energies: 0.76 eV per atom
Total magnetization: 0.00 μB per cell
V: 29.47 Å³/atom

Structure (CIF):
```
data_KSi
_cell_length_a 3.892
_cell_length_b 3.892
_cell_length_c 3.892
_cell_angle_alpha 90.00
_cell_angle_beta 90.00
_cell_angle_gamma 90.00
_space_group_name_H-M_alt 'P 1'
_space_group_IT_number 1
loop_
_space_group_symop_operation_xyz
'x,y,z'
loop_
_atom_site_label
_atom_site_fract_x
_atom_site_fract_y
_atom_site_fract_z
K1 0.000 0.000 0.000
Si1 0.500 0.500 0.500
```


What is the total magnetization in the second record?
0.00 μB per cell


Look up the E above lowest polymorph of the first one.
0.800 eV/atom